No. 1
First-principles (GGA-PBE) data for a relaxed SmY3Tl2 crystal, as listed in the Alexandria database.

Cell and atoms, written as POSCAR:
```
SmY3Tl2
1.0
-3.567 7.566 3.767
3.567 -7.566 3.767
3.567 7.566 -3.767
Sm Y Tl
2 6 4
direct
0.000 0.000 0.000
0.500 0.500 0.000
0.033 0.250 0.783
0.250 0.750 0.500
0.467 0.250 0.217
0.533 0.750 0.783
0.750 0.250 0.500
0.967 0.750 0.217
0.139 0.681 0.821
0.361 0.181 0.542
0.639 0.819 0.458
0.861 0.319 0.179
```

Computed properties:
- ρ (Mg/m³) = 6.74
- DFT formation energy (eV per atom) = -0.03
- V (Å³ per cell) = 406.71

***

No. 2
First-principles (GGA-PBE) data for a relaxed Sm6YTl5 crystal, as listed in the Alexandria database.

Cell and atoms, written as POSCAR:
```
Sm6YTl5
1.0
-2.535 4.513 7.695
2.535 -4.513 7.695
2.535 4.513 -7.695
Sm Y Tl
6 1 5
direct
0.066 0.329 0.737
0.229 0.000 0.229
0.408 0.671 0.737
0.592 0.329 0.263
0.771 0.000 0.771
0.934 0.671 0.263
0.500 0.500 0.000
0.000 0.500 0.500
0.176 0.176 0.000
0.352 0.852 0.500
0.648 0.148 0.500
0.824 0.824 0.000
```

Computed properties:
- ρ (Mg/m³) = 9.49
- DFT formation energy (eV per atom) = -0.30
- V (Å³ per cell) = 352.23

***

No. 3
First-principles (GGA-PBE) data for a relaxed Sm2YTl crystal, as listed in the Alexandria database.

Cell and atoms, written as POSCAR:
```
Sm2YTl
1.0
4.878 0.000 0.000
0.000 4.878 0.000
0.000 0.000 4.999
Sm Y Tl
2 1 1
direct
0.000 0.500 0.000
0.500 0.000 0.000
0.000 0.000 0.500
0.500 0.500 0.500
```

Computed properties:
- ρ (Mg/m³) = 8.29
- DFT formation energy (eV per atom) = -0.20
- V (Å³ per cell) = 118.96